Entry 1:
Material: RbAgH2Cl4
Method: DFT, GGA-PBE
State: relaxed

```
RbAgH2Cl4
1.0
6.0083 0.0000 0.0000
3.0041 5.8131 0.0223
3.0041 0.4986 5.7917
Rb Ag H Cl
1 1 2 4
Cartesian
0.0000 0.0000 0.0000 Rb
6.0083 3.1559 2.9070 Ag
3.0041 2.0043 1.8462 H
9.0124 4.3074 3.9678 H
4.1853 1.2711 2.5656 Cl
4.1853 5.0406 3.2484 Cl
7.8313 2.6612 1.0565 Cl
7.8313 3.6505 4.7575 Cl
```

Summary:
For the calculated density, the calculation gives 2.77 g/cm3. The total energy is -3.10 eV/atom. As for the space group: No. 23. As for the total magnetization: 0.000 μB per atom.

---

Entry 2:
Material: RbAgHCl3
Method: DFT, GGA-PBE
State: relaxed

```
RbAgHCl3
1.0
7.1330 -0.2758 -0.0935
3.0988 6.4307 -0.0935
2.7731 1.6681 7.5517
Rb Ag H Cl
2 2 2 6
Cartesian
9.5096 5.7204 6.2709 Rb
3.4953 2.1026 1.0938 Rb
5.6674 5.2996 3.6824 Ag
7.3375 2.5233 3.6824 Ag
2.9893 1.7982 5.3900 H
10.0156 6.0248 1.9748 H
3.9688 2.3874 4.7516 Cl
5.7919 5.7424 5.9993 Cl
7.7870 2.4258 5.9993 Cl
5.2179 5.3971 1.3655 Cl
7.2129 2.0805 1.3655 Cl
9.0361 5.4355 2.6131 Cl
```

Summary:
For the calculated density, the calculation gives 2.81 g/cm3. The total energy is -3.06 eV/atom. As for the space group: No. 12. As for the total magnetization: 0.000 μB per atom.

---

Entry 3:
Material: AgH2RuCl8
Method: DFT, GGA-PBE
State: relaxed

```
AgH2RuCl8
1.0
6.7726 -0.1762 -0.0791
-0.1386 6.3854 -0.0919
-0.1384 -0.1244 7.7962
Ag H Ru Cl
1 2 1 8
Cartesian
-0.0692 -0.0622 3.8981 Ag
1.9232 1.4312 5.6018 H
4.5723 4.6536 2.0235 H
0.0000 0.0000 0.0000 Ru
0.9696 5.1565 1.5402 Cl
4.7576 4.8257 0.0477 Cl
5.9396 1.2253 1.5769 Cl
5.5260 0.9283 6.0851 Cl
1.7380 1.2591 7.5776 Cl
0.5560 4.8595 6.0483 Cl
4.5034 4.5745 3.3647 Cl
1.9922 1.5103 4.2606 Cl
```

Summary:
For the calculated density, the calculation gives 2.44 g/cm3. The total energy is -3.26 eV/atom. As for the space group: No. 2. As for the total magnetization: 0.255 μB per atom.